1.
A relaxed PmAgAu crystal. Source: the Alexandria database, functional PBE-GGA.

Summary:
ΔE to the lowest computed polymorph = 120 meV per atom

a = 6.818 Å, b = 6.818 Å, c = 6.818 Å
α = 90.00°, β = 90.00°, γ = 90.00°
Space group F-43m (No. 216)
One atom of each set of equivalent atoms:
Pm (0.000, 0.000, 0.000) x4
Ag (0.000, 0.000, 0.500) x4
Au (0.250, 0.250, 0.250) x4

***

2.
A relaxed PmAg6Au12 crystal. Source: the Alexandria database, functional PBE-GGA.

a = 12.1630 Å, b = 12.1630 Å, c = 9.1503 Å
α = 90.00°, β = 90.00°, γ = 120.00°
Space group R-3m (No. 166, hexagonal axes)
One atom of each set of equivalent atoms:
Pm (0.0000, 0.0000, 0.0000) x3
Ag (0.0765, 0.5383, 0.2348) x18
Au (0.0000, 0.3869, 0.5000) x18
Au (0.0833, 0.1666, 0.2646) x18

***

3.
A relaxed Pm3Ag5Au2 crystal. Source: the Alexandria database, functional PBE-GGA.

Summary:
ΔE to the lowest computed polymorph = 127 meV per atom

a = 11.671 Å, b = 13.603 Å, c = 5.946 Å
α = 90.00°, β = 90.00°, γ = 90.00°
Space group Ibam (No. 72)
One atom of each set of equivalent atoms:
Pm (0.000, 0.000, 0.250) x4
Pm (0.120, 0.259, 0.000) x8
Ag (0.000, 0.500, 0.250) x4
Ag (0.129, 0.358, 0.500) x8
Ag (0.246, 0.500, 0.250) x8
Au (0.132, 0.157, 0.500) x8

***

| no. | ΔH_f (0 K) (kJ/mol of formula units) | magnetization (μB/cell) |
| --- | --- | --- |
| 1 | -125 | 0.0 |
| 2 | -60 | 0.0 |
| 3 | -257 | 0.0 |